(1)
Here is a relaxed RuRh2Cl crystal from Alexandria. Energies are from PBE-GGA.

Values from the calculation:
- energy relative to the lowest polymorph listed for this composition (meV per atom) = 414
- magnetization (Bohr magnetons per cell) = 0.01
- DFT total energy (eV per atom) = -5.747
- ΔE_f (raw) (kJ/mol of formula units) = 274

Unit cell a=5.441 b=7.788 c=2.787 alpha=90.00 beta=90.00 gamma=90.00
Space group Cmmm (No. 65)
Symmetry-distinct sites (fractional):
Ru  0.000  0.000  0.000 (multiplicity 2)
Rh  0.250  0.250  0.500 (multiplicity 4)
Cl  0.000  0.500  0.000 (multiplicity 2)

---

(2)
Here is a relaxed Ni2Pt4W crystal from Alexandria. Energies are from PBE-GGA.

Values from the calculation:
- energy relative to the lowest polymorph listed for this composition (meV per atom) = 0
- magnetization (Bohr magnetons per cell) = 0.00
- DFT total energy (eV per atom) = -7.030
- ΔE_f (kJ/mol of atoms) = -7

Unit cell a=5.445 b=5.445 c=7.375 alpha=90.00 beta=90.00 gamma=90.00
Space group I4/mmm (No. 139)
Symmetry-distinct sites (fractional):
Ni  0.000  0.500  0.000 (multiplicity 4)
Pt  0.250  0.250  0.250 (multiplicity 8)
W  0.000  0.000  0.000 (multiplicity 2)

---

(3)
Here is a relaxed SrIn2Br crystal from Alexandria. Energies are from PBE-GGA.

Values from the calculation:
- energy relative to the lowest polymorph listed for this composition (meV per atom) = 165
- magnetization (Bohr magnetons per cell) = 0.00
- DFT total energy (eV per atom) = -2.741
- ΔE_f (raw) (kJ/mol of formula units) = -206

Unit cell a=3.999 b=6.006 c=10.774 alpha=90.00 beta=90.00 gamma=90.00
Space group Imm2 (No. 44)
Symmetry-distinct sites (fractional):
Sr  0.000  0.000  0.000 (multiplicity 2)
In  0.000  0.000  0.484 (multiplicity 2)
In  0.000  0.500  0.235 (multiplicity 2)
Br  0.000  0.500  0.715 (multiplicity 2)

---

(4)
Here is a relaxed LaTiS2N crystal from Alexandria. Energies are from PBE-GGA.

Values from the calculation:
- energy relative to the lowest polymorph listed for this composition (meV per atom) = 1615
- magnetization (Bohr magnetons per cell) = 0.82
- DFT total energy (eV per atom) = -5.653
- ΔE_f (raw) (kJ/mol of formula units) = 110

Unit cell a=5.473 b=5.473 c=4.220 alpha=90.00 beta=90.00 gamma=90.00
Space group P4/mmm (No. 123)
Symmetry-distinct sites (fractional):
La  0.000  0.000  0.000 (multiplicity 1)
Ti  0.500  0.500  0.500 (multiplicity 1)
S  0.000  0.500  0.000 (multiplicity 2)
N  0.000  0.000  0.500 (multiplicity 1)

---

(5)
Here is a relaxed Sc5GaIr4 crystal from Alexandria. Energies are from PBE-GGA.

Values from the calculation:
- magnetization (Bohr magnetons per cell) = 0.00
- DFT total energy (eV per atom) = -7.948
- ΔE_f (kJ/mol of atoms) = -90

Unit cell a=3.258 b=3.258 c=16.294 alpha=90.00 beta=90.00 gamma=90.00
Space group P4/mmm (No. 123)
Symmetry-distinct sites (fractional):
Sc  0.000  0.000  0.000 (multiplicity 1)
Sc  0.000  0.000  0.197 (multiplicity 2)
Sc  0.000  0.000  0.392 (multiplicity 2)
Ga  0.500  0.500  0.500 (multiplicity 1)
Ir  0.500  0.500  0.099 (multiplicity 2)
Ir  0.500  0.500  0.298 (multiplicity 2)

---

(6)
Here is a relaxed LaPRu2C crystal from Alexandria. Energies are from PBE-GGA.

Values from the calculation:
- magnetization (Bohr magnetons per cell) = 0.00
- DFT total energy (eV per atom) = -8.252
- ΔE_f (kJ/mol of atoms) = -61

Unit cell a=3.983 b=11.039 c=7.201 alpha=90.00 beta=90.00 gamma=90.00
Space group Cmcm (No. 63)
Symmetry-distinct sites (fractional):
La  0.000  0.048  0.250 (multiplicity 4)
P  0.000  0.229  0.750 (multiplicity 4)
Ru  0.000  0.333  0.055 (multiplicity 8)
C  0.000  0.500  0.000 (multiplicity 4)